PrHoTm2In4 | PBE | optimized geometry

The space group is R-3m (No. 166, hexagonal axes) and the conventional cell measures 5.3313, 5.3313 and 26.2302 Å, with angles of 90.00, 90.00 and 120.00 degrees. The asymmetric unit holds Pr at (0.0000, 0.0000, 0.0000), Ho at (0.0000, 0.0000, 0.5000), Tm at (0.0000, 0.0000, 0.2495), In at (0.0000, 0.0000, 0.1268) and In at (0.0000, 0.0000, 0.3771).

For the density of states at the Fermi level, the calculation gives 12.5 states/eV per cell.

Pr6Ho3Tm2In | PBE | optimized geometry

The space group is C2/m (No. 12) and the conventional cell measures 6.221, 10.806 and 11.810 Å, with angles of 90.00, 100.27 and 90.00 degrees. The asymmetric unit holds Pr at (0.246, 0.000, 0.252), Pr at (0.246, 0.164, 0.747), Ho at (0.000, 0.168, 0.000), Ho at (0.000, 0.500, 0.000), Tm at (0.000, 0.334, 0.500) and In at (0.000, 0.000, 0.500).

For the density of states at the Fermi level, the calculation gives 28.1 states/eV per cell.

PrHo2TmIn4 | PBE | optimized geometry

The space group is R-3m (No. 166, hexagonal axes) and the conventional cell measures 5.3389, 5.3389 and 26.2905 Å, with angles of 90.00, 90.00 and 120.00 degrees. The asymmetric unit holds Pr at (0.0000, 0.0000, 0.0000), Ho at (0.0000, 0.0000, 0.2492), Tm at (0.0000, 0.0000, 0.5000), In at (0.0000, 0.0000, 0.1270) and In at (0.0000, 0.0000, 0.3774).

For the density of states at the Fermi level, the calculation gives 12.3 states/eV per cell.

no.,V (Å³/cell),DFT formation energy (eV per atom)
1,645.6,-0.44
2,781.1,-0.02
3,649.0,-0.45